<i>
Below is crystalline TcH3W at its relaxed geometry, with properties calculated at the PBE level.

Summary:
Magnetization in Bohr magnetons per cell: 1.9

abc: 3.488 3.488 3.488
angles: 90.00 90.00 90.00
Sites, in units of the cell vectors:
Tc (0.000, 0.000, 0.000)
H (0.000, 0.500, 0.500)
H (0.500, 0.000, 0.500)
H (0.500, 0.500, 0.000)
W (0.500, 0.500, 0.500)


<ii>
Below is crystalline TcH3W at its relaxed geometry, with properties calculated at the PBE level.

Summary:
Magnetization in Bohr magnetons per cell: 0.0

abc: 3.424 3.424 3.424
angles: 90.00 90.00 90.00
Sites, in units of the cell vectors:
Tc (0.000, 0.000, 0.000)
H (0.000, 0.000, 0.500)
H (0.000, 0.500, 0.000)
H (0.500, 0.000, 0.000)
W (0.500, 0.500, 0.500)


The winner here is <ii>, beating the second structure by 7.6 kJ/mol of atoms.


<i>
Below is crystalline TcH2W2 at its relaxed geometry, with properties calculated at the PBE level.

Summary:
Magnetization in Bohr magnetons per cell: 0.0

abc: 5.990 5.990 2.991
angles: 90.00 90.00 90.00
Sites, in units of the cell vectors:
Tc (0.000, 0.000, 0.000)
Tc (0.500, 0.500, 0.000)
H (0.198, 0.302, 0.000)
H (0.302, 0.802, 0.000)
H (0.698, 0.198, 0.000)
H (0.802, 0.698, 0.000)
W (0.155, 0.655, 0.500)
W (0.345, 0.155, 0.500)
W (0.655, 0.845, 0.500)
W (0.845, 0.345, 0.500)


<ii>
Below is crystalline TcH2W2 at its relaxed geometry, with properties calculated at the PBE level.

Summary:
Magnetization in Bohr magnetons per cell: 0.0

abc: 6.523 6.523 6.523
angles: 154.18 154.18 36.83
Sites, in units of the cell vectors:
Tc (0.000, 0.000, 0.000)
H (0.250, 0.750, 0.500)
H (0.750, 0.250, 0.500)
W (0.355, 0.355, 0.000)
W (0.645, 0.645, 0.000)


The winner here is <ii>, beating the second structure by 24.2 kJ/mol of atoms.


<i>
Below is crystalline YTcH2 at its relaxed geometry, with properties calculated at the PBE level.

Summary:
Magnetization in Bohr magnetons per cell: 0.0

abc: 4.043 4.043 4.043
angles: 60.00 60.00 60.00
Sites, in units of the cell vectors:
Y (0.000, 0.000, 0.000)
Tc (0.500, 0.500, 0.500)
H (0.250, 0.250, 0.250)
H (0.750, 0.750, 0.750)


<ii>
Below is crystalline YTcH2 at its relaxed geometry, with properties calculated at the PBE level.

Summary:
Magnetization in Bohr magnetons per cell: 0.0

abc: 6.088 6.088 6.088
angles: 138.73 138.73 59.79
Sites, in units of the cell vectors:
Y (0.000, 0.000, 0.000)
Y (0.750, 0.250, 0.500)
Tc (0.250, 0.750, 0.500)
Tc (0.500, 0.500, 0.000)
H (0.223, 0.625, 0.098)
H (0.375, 0.473, 0.598)
H (0.527, 0.125, 0.902)
H (0.875, 0.777, 0.402)


The winner here is <ii>, beating the second structure by 49.4 kJ/mol of atoms.